Density functional theory data (PBE) for a geometry-optimized Tb2MgFeC structure.

abc: 5.075 5.075 3.714
angles: 90.00 90.00 90.00
Sites, in units of the cell vectors:
1 Tb 0.000 0.500 0.000
2 Tb 0.500 0.000 0.000
3 Mg 0.000 0.000 0.500
4 Fe 0.500 0.500 0.500
5 C 0.500 0.500 0.000

Calculated values
The calculation puts the total energy at -5.8928 eV/atom. As for the formation energy: -0.18 eV per atom. The value obtained for the density of states at the Fermi level is 3.0 states/eV per cell.